(1)
! La6Nd2Cd | Alexandria via LeMat-Bulk | PBE | optimized geometry; values from VASP
! - distance to the lowest polymorph of the same formula (meV per atom) = 26
! - calculated volume (A^3/atom) = 35.228
! - formation energy from the elements (eV/atom) = -0.029
! - density of states at the Fermi level (states/eV/cell) = 28.50
&SYSTEM
  ibrav = 0, nat = 18, ntyp = 3
/
ATOMIC_SPECIES
Nd 144.24 Nd.upf
La 138.91 La.upf
Cd 112.41 Cd.upf
ATOMIC_POSITIONS crystal
Nd 0.000 0.709 0.209
La 0.500 0.466 0.681
La 0.500 0.534 0.319
La 0.000 0.368 0.132
Nd 0.500 0.209 0.291
La 0.000 0.632 0.868
La 0.000 0.966 0.819
La 0.000 0.034 0.181
Nd 0.000 0.291 0.791
La 0.500 0.132 0.632
Cd 0.500 0.500 0.000
La 0.500 0.181 0.966
Cd 0.000 0.000 0.500
La 0.000 0.681 0.534
La 0.500 0.819 0.034
La 0.000 0.319 0.466
La 0.500 0.868 0.368
Nd 0.500 0.791 0.709
CELL_PARAMETERS angstrom
5.508 0.000 0.257
0.000 10.724 0.000
-0.498 0.000 10.712

=====

(2)
! La3NdCd | Alexandria via LeMat-Bulk | PBE | optimized geometry; values from VASP
! - distance to the lowest polymorph of the same formula (meV per atom) = 0
! - calculated volume (A^3/atom) = 34.030
! - formation energy from the elements (eV/atom) = -0.128
! - density of states at the Fermi level (states/eV/cell) = 13.15
&SYSTEM
  ibrav = 0, nat = 10, ntyp = 3
/
ATOMIC_SPECIES
Cd 112.41 Cd.upf
La 138.91 La.upf
Nd 144.24 Nd.upf
ATOMIC_POSITIONS crystal
Cd 0.810 0.538 0.878
La 0.418 0.398 0.096
Nd 0.820 0.077 0.900
La 0.226 0.739 0.711
La 0.212 0.276 0.680
La 0.605 0.486 0.464
Nd 0.010 0.148 0.276
Cd 0.020 0.686 0.297
La 0.412 0.827 0.079
La 0.619 0.949 0.495
CELL_PARAMETERS angstrom
3.762 0.000 -0.695
-0.377 8.826 -2.050
-0.049 0.020 10.252

=====

(3)
! La6NdCd3 | Alexandria via LeMat-Bulk | PBE | optimized geometry; values from VASP
! - calculated volume (A^3/atom) = 33.336
! - formation energy from the elements (eV/atom) = -0.115
! - density of states at the Fermi level (states/eV/cell) = 25.54
&SYSTEM
  ibrav = 0, nat = 20, ntyp = 3
/
ATOMIC_SPECIES
La 138.91 La.upf
Cd 112.41 Cd.upf
Nd 144.24 Nd.upf
ATOMIC_POSITIONS crystal
La 0.603 0.298 0.702
La 0.277 0.005 0.436
La 0.601 0.261 0.306
Cd 0.356 0.503 0.497
La 0.103 0.702 0.298
La 0.777 0.436 0.005
Cd 0.374 0.012 0.765
La 0.777 0.995 0.564
La 0.404 0.922 0.078
La 0.101 0.739 0.694
La 0.101 0.306 0.261
La 0.601 0.694 0.739
Cd 0.874 0.765 0.012
Cd 0.374 0.235 0.988
Nd 0.619 0.693 0.307
La 0.277 0.564 0.995
La 0.904 0.078 0.922
Nd 0.119 0.307 0.693
Cd 0.856 0.497 0.503
Cd 0.874 0.988 0.235
CELL_PARAMETERS angstrom
7.030 0.000 0.000
0.000 9.730 0.697
0.000 -1.492 9.640

=====

(4)
! La7Nd2Cd2 | Alexandria via LeMat-Bulk | PBE | optimized geometry; values from VASP
! - distance to the lowest polymorph of the same formula (meV per atom) = 0
! - calculated volume (A^3/atom) = 35.425
! - formation energy from the elements (eV/atom) = -0.006
! - density of states at the Fermi level (states/eV/cell) = 14.01
&SYSTEM
  ibrav = 0, nat = 11, ntyp = 3
/
ATOMIC_SPECIES
La 138.91 La.upf
Nd 144.24 Nd.upf
Cd 112.41 Cd.upf
ATOMIC_POSITIONS crystal
La 0.394 0.702 0.510
Nd 0.720 0.863 0.697
Cd 0.500 0.341 0.659
La 0.606 0.490 0.298
La 0.849 0.469 0.832
La 0.500 0.037 0.963
La 0.151 0.168 0.531
La 0.178 0.668 0.975
Nd 0.280 0.303 0.137
Cd 0.000 0.787 0.213
La 0.822 0.025 0.332
CELL_PARAMETERS angstrom
3.716 0.000 0.602
1.123 9.599 4.838
0.156 -0.299 10.803

=====

(5)
! La2NdCd2 | Alexandria via LeMat-Bulk | PBE | optimized geometry; values from VASP
! - distance to the lowest polymorph of the same formula (meV per atom) = 0
! - calculated volume (A^3/atom) = 31.196
! - formation energy from the elements (eV/atom) = -0.264
! - density of states at the Fermi level (states/eV/cell) = 12.91
&SYSTEM
  ibrav = 0, nat = 10, ntyp = 3
/
ATOMIC_SPECIES
Cd 112.41 Cd.upf
Nd 144.24 Nd.upf
La 138.91 La.upf
ATOMIC_POSITIONS crystal
Cd 0.443 0.750 0.888
Nd 0.150 0.250 0.297
Cd 0.557 0.250 0.112
Cd 0.362 0.250 0.722
Nd 0.850 0.750 0.703
Cd 0.638 0.750 0.278
La 0.233 0.750 0.469
La 0.957 0.250 0.914
La 0.043 0.750 0.086
La 0.767 0.250 0.531
CELL_PARAMETERS angstrom
-3.201 1.764 -1.181
-3.059 -4.293 1.880
0.418 5.619 13.513

=====

(6)
! La3Nd2Cd | Alexandria via LeMat-Bulk | PBE | optimized geometry; values from VASP
! - distance to the lowest polymorph of the same formula (meV per atom) = 0
! - calculated volume (A^3/atom) = 34.460
! - formation energy from the elements (eV/atom) = -0.096
! - density of states at the Fermi level (states/eV/cell) = 9.23
&SYSTEM
  ibrav = 0, nat = 6, ntyp = 3
/
ATOMIC_SPECIES
La 138.91 La.upf
Cd 112.41 Cd.upf
Nd 144.24 Nd.upf
ATOMIC_POSITIONS crystal
La 0.000 0.000 0.355
La 0.000 0.000 0.000
Cd 0.500 0.500 0.500
Nd 0.500 0.500 0.823
Nd 0.500 0.500 0.177
La 0.000 0.000 0.645
CELL_PARAMETERS angstrom
3.768 0.000 0.000
0.000 3.768 0.000
0.000 0.000 14.561

=====

(7)
! La3Nd2Cd | Alexandria via LeMat-Bulk | PBE | optimized geometry; values from VASP
! - distance to the lowest polymorph of the same formula (meV per atom) = 41
! - calculated volume (A^3/atom) = 33.119
! - formation energy from the elements (eV/atom) = -0.055
! - density of states at the Fermi level (states/eV/cell) = 16.42
&SYSTEM
  ibrav = 0, nat = 12, ntyp = 3
/
ATOMIC_SPECIES
La 138.91 La.upf
Nd 144.24 Nd.upf
Cd 112.41 Cd.upf
ATOMIC_POSITIONS crystal
La 0.970 0.845 0.155
La 0.470 0.500 0.500
Nd 0.720 0.153 0.497
La 0.970 0.155 0.845
Cd 0.220 0.174 0.174
Cd 0.720 0.826 0.826
La 0.470 0.155 0.845
La 0.970 0.500 0.500
Nd 0.220 0.503 0.847
Nd 0.220 0.847 0.503
La 0.470 0.845 0.155
Nd 0.720 0.497 0.153
CELL_PARAMETERS angstrom
-7.529 5.637 6.944
3.493 -1.455 4.968
1.130 5.310 -3.086

=====

(8)
! La6Nd5Cd | Alexandria via LeMat-Bulk | PBE | optimized geometry; values from VASP
! - calculated volume (A^3/atom) = 34.935
! - formation energy from the elements (eV/atom) = -0.023
! - density of states at the Fermi level (states/eV/cell) = 18.16
&SYSTEM
  ibrav = 0, nat = 12, ntyp = 3
/
ATOMIC_SPECIES
Nd 144.24 Nd.upf
Cd 112.41 Cd.upf
La 138.91 La.upf
ATOMIC_POSITIONS crystal
Nd 0.000 0.337 0.663
Cd 0.000 0.000 0.000
La 0.742 0.242 0.242
La 0.757 0.594 0.921
Nd 0.500 0.173 0.827
La 0.757 0.921 0.594
Nd 0.000 0.663 0.337
Nd 0.500 0.827 0.173
La 0.243 0.079 0.406
La 0.258 0.758 0.758
Nd 0.500 0.500 0.500
La 0.243 0.406 0.079
CELL_PARAMETERS angstrom
5.016 -0.005 -1.406
-3.560 8.525 -3.067
0.021 0.142 9.733

=====

(9)
! La8Nd6Cd | Alexandria via LeMat-Bulk | PBE | optimized geometry; values from VASP
! - calculated volume (A^3/atom) = 35.561
! - formation energy from the elements (eV/atom) = 0.067
! - density of states at the Fermi level (states/eV/cell) = 21.06
&SYSTEM
  ibrav = 0, nat = 15, ntyp = 3
/
ATOMIC_SPECIES
Nd 144.24 Nd.upf
La 138.91 La.upf
Cd 112.41 Cd.upf
ATOMIC_POSITIONS crystal
Nd 0.664 0.650 0.094
Nd 0.664 0.906 0.555
La 0.822 0.229 0.956
Cd 0.500 0.000 0.000
Nd 0.336 0.094 0.445
Nd 0.336 0.555 0.650
La 0.178 0.771 0.044
La 0.132 0.667 0.333
Nd 0.336 0.350 0.906
La 0.822 0.727 0.771
La 0.178 0.273 0.229
Nd 0.664 0.445 0.350
La 0.822 0.044 0.273
La 0.178 0.956 0.727
La 0.868 0.333 0.667
CELL_PARAMETERS angstrom
-4.868 2.574 -3.839
6.579 3.296 -6.133
-3.694 -8.758 -1.189

=====

(10)
! La3Nd6Cd | Alexandria via LeMat-Bulk | PBE | optimized geometry; values from VASP
! - distance to the lowest polymorph of the same formula (meV per atom) = 119
! - calculated volume (A^3/atom) = 34.826
! - formation energy from the elements (eV/atom) = 0.092
! - density of states at the Fermi level (states/eV/cell) = 30.16
&SYSTEM
  ibrav = 0, nat = 20, ntyp = 3
/
ATOMIC_SPECIES
Nd 144.24 Nd.upf
Cd 112.41 Cd.upf
La 138.91 La.upf
ATOMIC_POSITIONS crystal
Nd 0.495 0.854 0.074
Cd 0.500 0.500 0.500
Nd 0.869 0.042 0.244
Nd 0.512 0.164 0.583
Nd 0.488 0.836 0.417
Nd 0.369 0.458 0.744
Nd 0.012 0.336 0.083
La 0.601 0.819 0.739
Nd 0.005 0.354 0.426
Cd 0.000 0.000 0.000
Nd 0.131 0.958 0.756
Nd 0.988 0.664 0.917
Nd 0.631 0.542 0.256
Nd 0.995 0.646 0.574
Nd 0.505 0.146 0.926
La 0.399 0.181 0.261
La 0.101 0.681 0.239
La 0.000 0.000 0.500
La 0.899 0.319 0.761
La 0.500 0.500 0.000
CELL_PARAMETERS angstrom
-6.103 1.274 -0.119
-1.787 -8.141 4.473
1.451 5.402 10.412

=====

Repeat the eighth record exactly.
! La6Nd5Cd | Alexandria via LeMat-Bulk | PBE | optimized geometry; values from VASP
! - calculated volume (A^3/atom) = 34.935
! - formation energy from the elements (eV/atom) = -0.023
! - density of states at the Fermi level (states/eV/cell) = 18.16
&SYSTEM
  ibrav = 0, nat = 12, ntyp = 3
/
ATOMIC_SPECIES
Nd 144.24 Nd.upf
Cd 112.41 Cd.upf
La 138.91 La.upf
ATOMIC_POSITIONS crystal
Nd 0.000 0.337 0.663
Cd 0.000 0.000 0.000
La 0.742 0.242 0.242
La 0.757 0.594 0.921
Nd 0.500 0.173 0.827
La 0.757 0.921 0.594
Nd 0.000 0.663 0.337
Nd 0.500 0.827 0.173
La 0.243 0.079 0.406
La 0.258 0.758 0.758
Nd 0.500 0.500 0.500
La 0.243 0.406 0.079
CELL_PARAMETERS angstrom
5.016 -0.005 -1.406
-3.560 8.525 -3.067
0.021 0.142 9.733

=====

What did the ninth record say?
! La8Nd6Cd | Alexandria via LeMat-Bulk | PBE | optimized geometry; values from VASP
! - calculated volume (A^3/atom) = 35.561
! - formation energy from the elements (eV/atom) = 0.067
! - density of states at the Fermi level (states/eV/cell) = 21.06
&SYSTEM
  ibrav = 0, nat = 15, ntyp = 3
/
ATOMIC_SPECIES
Nd 144.24 Nd.upf
La 138.91 La.upf
Cd 112.41 Cd.upf
ATOMIC_POSITIONS crystal
Nd 0.664 0.650 0.094
Nd 0.664 0.906 0.555
La 0.822 0.229 0.956
Cd 0.500 0.000 0.000
Nd 0.336 0.094 0.445
Nd 0.336 0.555 0.650
La 0.178 0.771 0.044
La 0.132 0.667 0.333
Nd 0.336 0.350 0.906
La 0.822 0.727 0.771
La 0.178 0.273 0.229
Nd 0.664 0.445 0.350
La 0.822 0.044 0.273
La 0.178 0.956 0.727
La 0.868 0.333 0.667
CELL_PARAMETERS angstrom
-4.868 2.574 -3.839
6.579 3.296 -6.133
-3.694 -8.758 -1.189